Here is a relaxed MnCuCSeN crystal from Alexandria via LeMat-Bulk. Energies are from PBE.

a = 3.5202 Å, b = 3.6847 Å, c = 6.7192 Å
α = 90.00°, β = 90.16°, γ = 90.00°
Space group Pm (No. 6)
Inequivalent atoms, fractional coordinates:
Mn 0.0000 0.0000 0.0000 [1 per cell]
Cu 0.5063 0.0000 0.3580 [1 per cell]
C 0.5021 0.0000 0.6378 [1 per cell]
Se 0.0038 0.5000 0.2512 [1 per cell]
N 0.4985 0.0000 0.8157 [1 per cell]

Computed properties:
- uncorrected formation energy (eV/atom) = 0.142
- energy above the most stable polymorph in this dataset (meV/atom) = 32

=====

Here is a relaxed TlSbPF crystal from Alexandria via LeMat-Bulk. Energies are from PBE.

a = 3.8234 Å, b = 3.8234 Å, c = 8.1419 Å
α = 90.00°, β = 90.00°, γ = 120.00°
Space group P3m1 (No. 156)
Inequivalent atoms, fractional coordinates:
Tl 0.0000 0.0000 0.0000 [1 per cell]
Sb 0.0000 0.0000 0.5387 [1 per cell]
P 0.3333 0.6667 0.3649 [1 per cell]
F 0.6667 0.3333 0.8424 [1 per cell]

Computed properties:
- uncorrected formation energy (eV/atom) = -0.767
- energy above the most stable polymorph in this dataset (meV/atom) = 0

=====

Here is a relaxed Pm3GeSe6 crystal from Alexandria via LeMat-Bulk. Energies are from PBE.

a = 11.4205 Å, b = 14.2209 Å, c = 7.0204 Å
α = 90.00°, β = 90.00°, γ = 90.00°
Space group Cmc2_1 (No. 36)
Inequivalent atoms, fractional coordinates:
Pm 0.0000 0.0977 0.0000 [4 per cell]
Pm 0.1841 0.4021 0.0934 [8 per cell]
Ge 0.0000 0.3006 0.6345 [4 per cell]
Se 0.0000 0.2804 0.2635 [4 per cell]
Se 0.0000 0.4652 0.7866 [4 per cell]
Se 0.1618 0.0313 0.2962 [8 per cell]
Se 0.1698 0.2341 0.8152 [8 per cell]

Computed properties:
- uncorrected formation energy (eV/atom) = -1.443